Compound: PmGeAu2
Source: the Alexandria database
Functional: GGA-PBEsol
Structure: optimized geometry

The electronic total energy comes out at -80.7 eV/cell. As for the calculated volume: 326.38 Å³/cell. The crystal system is cubic. The magnetization comes out at 0.000 μB per atom. For the calculated formation energy, the calculation gives -0.5615 eV/atom. Its space-group type is Fm-3m, No. 225.

a = 6.8851 Å, b = 6.8851 Å, c = 6.8851 Å
α = 90.00°, β = 90.00°, γ = 90.00°
With the nearest neighbours (Å) after each atom.
Fractional coordinates of all 16 atoms:
Pm1 0.0000 0.0000 0.0000  8 Au 2.98
Pm2 0.0000 0.5000 0.5000  8 Au 2.98
Pm3 0.5000 0.0000 0.5000  8 Au 2.98
Pm4 0.5000 0.5000 0.0000  8 Au 2.98
Ge1 0.0000 0.0000 0.5000  8 Au 2.98
Ge2 0.0000 0.5000 0.0000  8 Au 2.98
Ge3 0.5000 0.0000 0.0000  8 Au 2.98
Ge4 0.5000 0.5000 0.5000  8 Au 2.98
Au1 0.2500 0.2500 0.2500  4 Ge 2.98, 4 Pm 2.98
Au2 0.2500 0.2500 0.7500  4 Ge 2.98, 4 Pm 2.98
Au3 0.2500 0.7500 0.2500  4 Ge 2.98, 4 Pm 2.98
Au4 0.2500 0.7500 0.7500  4 Ge 2.98, 4 Pm 2.98
Au5 0.7500 0.2500 0.2500  4 Ge 2.98, 4 Pm 2.98
Au6 0.7500 0.2500 0.7500  4 Ge 2.98, 4 Pm 2.98
Au7 0.7500 0.7500 0.2500  4 Ge 2.98, 4 Pm 2.98
Au8 0.7500 0.7500 0.7500  4 Ge 2.98, 4 Pm 2.98

Compound: PrGeAu
Source: the Alexandria database
Functional: GGA-PBEsol
Structure: optimized geometry

The electronic total energy comes out at -33.3 eV/cell. As for the calculated volume: 133.31 Å³/cell. The crystal system is hexagonal. The magnetization comes out at 0.000 μB per atom. For the calculated formation energy, the calculation gives -0.8674 eV/atom. Its space-group type is P6_3mc, No. 186.

a = 4.4572 Å, b = 4.4572 Å, c = 7.7484 Å
α = 90.00°, β = 90.00°, γ = 120.00°
With the nearest neighbours (Å) after each atom.
Fractional coordinates of all 6 atoms:
Pr1 0.0000 0.0000 0.0000  6 Ge 3.08-3.38, 6 Au 3.13-3.32
Pr2 0.0000 0.0000 0.5000  6 Ge 3.08-3.38, 6 Au 3.13-3.32
Ge1 0.3333 0.6667 0.2819  3 Au 2.61
Ge2 0.6667 0.3333 0.7819  3 Au 2.61
Au1 0.3333 0.6667 0.7293  3 Ge 2.61
Au2 0.6667 0.3333 0.2293  3 Ge 2.61

Compound: Rb3Ge4Au
Source: the Alexandria database
Functional: GGA-PBEsol
Structure: optimized geometry

The electronic total energy comes out at -57.6 eV/cell. As for the calculated volume: 513.29 Å³/cell. The crystal system is orthorhombic. The magnetization comes out at 0.000 μB per atom. For the calculated formation energy, the calculation gives -0.2545 eV/atom. Its space-group type is Pmmn, No. 59.

a = 6.7928 Å, b = 12.4137 Å, c = 6.0871 Å
α = 90.00°, β = 90.00°, γ = 90.00°
With the nearest neighbours (Å) after each atom.
Fractional coordinates of all 16 atoms:
Rb1 0.2500 0.0141 0.1648  1 Au 3.39, 4 Ge 3.57-3.62
Rb2 0.2500 0.2500 0.5680  2 Au 3.48, 4 Ge 3.61-3.71, 2 Rb 3.82
Rb3 0.2500 0.4859 0.1648  1 Au 3.39, 4 Ge 3.57-3.62
Rb4 0.7500 0.5141 0.8352  1 Au 3.39, 4 Ge 3.57-3.62
Rb5 0.7500 0.7500 0.4320  2 Au 3.48, 4 Ge 3.61-3.71, 2 Rb 3.82
Rb6 0.7500 0.9859 0.8352  1 Au 3.39, 4 Ge 3.57-3.62
Ge1 0.0490 0.7500 0.9419  3 Ge 2.55-2.73, 1 Au 2.61
Ge2 0.2500 0.6394 0.6696  3 Ge 2.55-2.74, 1 Au 2.60
Ge3 0.2500 0.8606 0.6696  3 Ge 2.55-2.74, 1 Au 2.60
Ge4 0.4510 0.7500 0.9419  3 Ge 2.55-2.73, 1 Au 2.61
Ge5 0.5490 0.2500 0.0581  3 Ge 2.55-2.73, 1 Au 2.61
Ge6 0.7500 0.1394 0.3304  3 Ge 2.55-2.74, 1 Au 2.60
Ge7 0.7500 0.3606 0.3304  3 Ge 2.55-2.74, 1 Au 2.60
Ge8 0.9510 0.2500 0.0581  3 Ge 2.55-2.73, 1 Au 2.61
Au1 0.2500 0.7500 0.3073  4 Ge 2.60-2.61
Au2 0.7500 0.2500 0.6927  4 Ge 2.60-2.61

Compound: RbSn2GeAu
Source: the Alexandria database
Functional: GGA-PBEsol
Structure: optimized geometry

The electronic total energy comes out at -17.0 eV/cell. As for the calculated volume: 155.25 Å³/cell. The crystal system is tetragonal. The magnetization comes out at 0.000 μB per atom. For the calculated formation energy, the calculation gives 0.2725 eV/atom. Its space-group type is P4/mmm, No. 123.

a = 5.6337 Å, b = 5.6337 Å, c = 4.8915 Å
α = 90.00°, β = 90.00°, γ = 90.00°
With the nearest neighbours (Å) after each atom.
Fractional coordinates of all 5 atoms:
Rb1 0.0000 0.0000 0.0000  8 Sn 3.73, 4 Ge 3.98
Sn1 0.0000 0.5000 0.5000  2 Au 2.82
Sn2 0.5000 0.0000 0.5000  2 Au 2.82
Ge1 0.5000 0.5000 0.0000  2 Au 2.45
Au1 0.5000 0.5000 0.5000  2 Ge 2.45

Compound: Re3GeAu
Source: the Alexandria database
Functional: GGA-PBEsol
Structure: optimized geometry

The electronic total energy comes out at -39.2 eV/cell. As for the calculated volume: 89.54 Å³/cell. The crystal system is cubic. The magnetization comes out at 0.000 μB per atom. For the calculated formation energy, the calculation gives 1.9245 eV/atom. Its space-group type is Pm-3m, No. 221.

a = 4.4738 Å, b = 4.4738 Å, c = 4.4738 Å
α = 90.00°, β = 90.00°, γ = 90.00°
With the nearest neighbours (Å) after each atom.
Fractional coordinates of all 5 atoms:
Re1 0.0000 0.0000 0.5000  2 Ge 2.24
Re2 0.0000 0.5000 0.0000  2 Ge 2.24
Re3 0.5000 0.0000 0.0000  2 Ge 2.24
Ge1 0.0000 0.0000 0.0000  6 Re 2.24
Au1 0.5000 0.5000 0.5000  12 Re 3.16

Compound: ScGe2RhAu
Source: the Alexandria database
Functional: GGA-PBEsol
Structure: optimized geometry

The electronic total energy comes out at -23.0 eV/cell. As for the calculated volume: 113.18 Å³/cell. The crystal system is tetragonal. The magnetization comes out at 0.001 μB per atom. For the calculated formation energy, the calculation gives 1.1168 eV/atom. Its space-group type is P4/mmm, No. 123.

a = 4.8449 Å, b = 4.8449 Å, c = 4.8215 Å
α = 90.00°, β = 90.00°, γ = 90.00°
With the nearest neighbours (Å) after each atom.
Fractional coordinates of all 5 atoms:
Sc1 0.0000 0.0000 0.0000  2 Au 2.41, 4 Ge 2.42
Ge1 0.0000 0.5000 0.0000  2 Sc 2.42
Ge2 0.5000 0.0000 0.0000  2 Sc 2.42
Rh1 0.5000 0.5000 0.5000  8 Ge 3.42, 4 Au 3.43
Au1 0.0000 0.0000 0.5000  2 Sc 2.41

Compound: SrGeRh2Au
Source: the Alexandria database
Functional: GGA-PBEsol
Structure: optimized geometry

The electronic total energy comes out at -27.4 eV/cell. As for the calculated volume: 102.90 Å³/cell. The crystal system is tetragonal. The magnetization comes out at 0.000 μB per atom. For the calculated formation energy, the calculation gives -0.0802 eV/atom. Its space-group type is P4/mmm, No. 123.

a = 4.6200 Å, b = 4.6200 Å, c = 4.8208 Å
α = 90.00°, β = 90.00°, γ = 90.00°
With the nearest neighbours (Å) after each atom.
Fractional coordinates of all 5 atoms:
Sr1 0.0000 0.0000 0.0000  4 Au 3.27, 8 Rh 3.34
Ge1 0.5000 0.5000 0.5000  4 Rh 2.31, 2 Au 2.41
Rh1 0.0000 0.5000 0.5000  2 Ge 2.31
Rh2 0.5000 0.0000 0.5000  2 Ge 2.31
Au1 0.5000 0.5000 0.0000  2 Ge 2.41

Compound: GeAuS3
Source: the Alexandria database
Functional: GGA-PBEsol
Structure: optimized geometry

The electronic total energy comes out at -19.0 eV/cell. As for the calculated volume: 106.69 Å³/cell. The crystal system is cubic. The magnetization comes out at 0.000 μB per atom. Its space-group type is Pm-3m, No. 221. Its formation energy from raw total energies is 3.0 eV per formula unit.

a = 4.7429 Å, b = 4.7429 Å, c = 4.7429 Å
α = 90.00°, β = 90.00°, γ = 90.00°
With the nearest neighbours (Å) after each atom.
Fractional coordinates of all 5 atoms:
Ge1 0.0000 0.0000 0.0000  12 S 3.35
Au1 0.5000 0.5000 0.5000  6 S 2.37
S1 0.0000 0.5000 0.5000  2 Au 2.37
S2 0.5000 0.0000 0.5000  2 Au 2.37
S3 0.5000 0.5000 0.0000  2 Au 2.37

What did the sixth record say?
Compound: ScGe2RhAu
Source: the Alexandria database
Functional: GGA-PBEsol
Structure: optimized geometry

The electronic total energy comes out at -23.0 eV/cell. As for the calculated volume: 113.18 Å³/cell. The crystal system is tetragonal. The magnetization comes out at 0.001 μB per atom. For the calculated formation energy, the calculation gives 1.1168 eV/atom. Its space-group type is P4/mmm, No. 123.

a = 4.8449 Å, b = 4.8449 Å, c = 4.8215 Å
α = 90.00°, β = 90.00°, γ = 90.00°
With the nearest neighbours (Å) after each atom.
Fractional coordinates of all 5 atoms:
Sc1 0.0000 0.0000 0.0000  2 Au 2.41, 4 Ge 2.42
Ge1 0.0000 0.5000 0.0000  2 Sc 2.42
Ge2 0.5000 0.0000 0.0000  2 Sc 2.42
Rh1 0.5000 0.5000 0.5000  8 Ge 3.42, 4 Au 3.43
Au1 0.0000 0.0000 0.5000  2 Sc 2.41